A geometry-optimized PrScPa structure, computed with PBE-GGA.

Output
As for the polymorph energy (0 for the lowest one): 0 meV/atom. The formation energy is 0.99 eV per atom. The total energy is -17.6 eV per formula unit. As for the space group: No. 216. Its volume is 31.975 Å³/atom. The size of the total moment is 1.0 μB/f.u.

a b c (Å): 7.267 7.267 7.267
angles (deg): 90.00 90.00 90.00
Atoms (fractional coordinates):
1 Pr 0.000 0.000 0.000
2 Pr 0.000 0.500 0.500
3 Pr 0.500 0.000 0.500
4 Pr 0.500 0.500 0.000
5 Sc 0.250 0.250 0.750
6 Sc 0.250 0.750 0.250
7 Sc 0.750 0.250 0.250
8 Sc 0.750 0.750 0.750
9 Pa 0.000 0.000 0.500
10 Pa 0.000 0.500 0.000
11 Pa 0.500 0.000 0.000
12 Pa 0.500 0.500 0.500